Model 1:
A geometry-optimized AlV2Bi structure, computed with PBE.

The structure in CIF format:
```
data_AlV2Bi
_chemical_formula_sum 'Al2 V4 Bi2'
_cell_length_a 3.9998
_cell_length_b 3.9998
_cell_length_c 10.0137
_cell_angle_alpha 78.48
_cell_angle_beta 78.48
_cell_angle_gamma 90.00
_symmetry_space_group_name_H-M 'P 1'
_symmetry_Int_Tables_number 1
_symmetry_space_group_name_Hall 'P 1'
loop_
_atom_site_label
_atom_site_fract_x
_atom_site_fract_y
_atom_site_fract_z
_atom_site_occupancy
Bi1 0.0000 0.0000 0.0000 1
Bi2 0.7500 0.2500 0.5000 1
Al1 0.5000 0.5000 0.0000 1
Al2 0.2500 0.7500 0.5000 1
V1 0.5726 0.1250 0.2500 1
V2 0.1774 0.6250 0.2500 1
V3 0.3750 0.4274 0.7500 1
V4 0.8750 0.8226 0.7500 1
```

Properties
N(E_F) ... 1.28 states/eV per atom
SG ... I-42d, No. 122

Model 2:
A geometry-optimized AlV2Bi structure, computed with PBE.

The structure in CIF format:
```
data_AlV2Bi
_chemical_formula_sum 'Al1 V2 Bi1'
_cell_length_a 4.7039
_cell_length_b 4.7039
_cell_length_c 4.7039
_cell_angle_alpha 60.00
_cell_angle_beta 60.00
_cell_angle_gamma 60.00
_symmetry_space_group_name_H-M 'P 1'
_symmetry_Int_Tables_number 1
_symmetry_space_group_name_Hall 'P 1'
loop_
_atom_site_label
_atom_site_fract_x
_atom_site_fract_y
_atom_site_fract_z
_atom_site_occupancy
Bi1 0.5000 0.5000 0.5000 1
Al1 0.0000 0.0000 0.0000 1
V1 0.2500 0.2500 0.2500 1
V2 0.7500 0.7500 0.7500 1
```

Properties
N(E_F) ... 1.00 states/eV per atom
SG ... Fm-3m, No. 225

Verdict on stability: model 2 comes out on top.

Model 1:
A geometry-optimized Al2Bi2W structure, computed with PBE.

The structure in CIF format:
```
data_Al2Bi2W
_chemical_formula_sum 'Al2 Bi2 W1'
_cell_length_a 4.1560
_cell_length_b 4.1560
_cell_length_c 7.9191
_cell_angle_alpha 74.79
_cell_angle_beta 74.79
_cell_angle_gamma 90.00
_symmetry_space_group_name_H-M 'P 1'
_symmetry_Int_Tables_number 1
_symmetry_space_group_name_Hall 'P 1'
loop_
_atom_site_label
_atom_site_fract_x
_atom_site_fract_y
_atom_site_fract_z
_atom_site_occupancy
Bi1 0.7500 0.2500 0.5000 1
Bi2 0.2500 0.7500 0.5000 1
W1 0.0000 0.0000 0.0000 1
Al1 0.4162 0.4162 0.1676 1
Al2 0.5838 0.5838 0.8324 1
```

Properties
N(E_F) ... 0.62 states/eV per atom
SG ... I4/mmm, No. 139

Model 2:
A geometry-optimized Al2Bi2W structure, computed with PBE.

The structure in CIF format:
```
data_Al2Bi2W
_chemical_formula_sum 'Al4 Bi4 W2'
_cell_length_a 7.0290
_cell_length_b 7.0290
_cell_length_c 4.6367
_cell_angle_alpha 90.00
_cell_angle_beta 90.00
_cell_angle_gamma 90.00
_symmetry_space_group_name_H-M 'P 1'
_symmetry_Int_Tables_number 1
_symmetry_space_group_name_Hall 'P 1'
loop_
_atom_site_label
_atom_site_fract_x
_atom_site_fract_y
_atom_site_fract_z
_atom_site_occupancy
Bi1 0.1726 0.6726 0.5000 1
Bi2 0.6726 0.8274 0.5000 1
Bi3 0.8274 0.3274 0.5000 1
Bi4 0.3274 0.1726 0.5000 1
W1 0.0000 0.0000 0.0000 1
W2 0.5000 0.5000 0.0000 1
Al1 0.3591 0.8591 0.0000 1
Al2 0.8591 0.6409 0.0000 1
Al3 0.6409 0.1409 0.0000 1
Al4 0.1409 0.3591 0.0000 1
```

Properties
N(E_F) ... 0.57 states/eV per atom
SG ... P4/mbm, No. 127

Verdict on stability: model 2 comes out on top.